# P2PdSeS (PBE, relaxed)
# Calculated volume = 103 Å³ per cell
# Formation energy without anion corrections = 841.2 meV per atom
# E above lowest polymorph = 0 meV/atom
# Density = 4.5 Mg/m³
data_P2PdSeS
_space_group_name_H-M_alt 'P 4/m m m'
_space_group_IT_number 123
_space_group_name_Hall '-P 4 2'
_cell_length_a 4.673
_cell_length_b 4.673
_cell_length_c 4.699
_cell_angle_alpha 90.00
_cell_angle_beta 90.00
_cell_angle_gamma 90.00
loop_
_atom_site_label
_atom_site_fract_x
_atom_site_fract_y
_atom_site_fract_z
P1 0.000 0.500 0.000
Pd1 0.000 0.000 0.000
Se1 0.500 0.500 0.500
S1 0.000 0.000 0.500

# SiPPdS2 (PBE, relaxed)
# Calculated volume = 90 Å³ per cell
# Formation energy without anion corrections = 654.8 meV per atom
# E above lowest polymorph = 56 meV/atom
# Density = 4.2 Mg/m³
data_SiPPdS2
_space_group_name_H-M_alt 'P 4/m m m'
_space_group_IT_number 123
_space_group_name_Hall '-P 4 2'
_cell_length_a 4.434
_cell_length_b 4.434
_cell_length_c 4.569
_cell_angle_alpha 90.00
_cell_angle_beta 90.00
_cell_angle_gamma 90.00
loop_
_atom_site_label
_atom_site_fract_x
_atom_site_fract_y
_atom_site_fract_z
Si1 0.000 0.000 0.000
P1 0.000 0.000 0.500
Pd1 0.500 0.500 0.000
S1 0.000 0.500 0.500

# SiP2PdS (PBE, relaxed)
# Calculated volume = 88 Å³ per cell
# Formation energy without anion corrections = 689.7 meV per atom
# E above lowest polymorph = 0 meV/atom
# Density = 4.3 Mg/m³
data_SiP2PdS
_space_group_name_H-M_alt 'P 4/m m m'
_space_group_IT_number 123
_space_group_name_Hall '-P 4 2'
_cell_length_a 4.496
_cell_length_b 4.496
_cell_length_c 4.376
_cell_angle_alpha 90.00
_cell_angle_beta 90.00
_cell_angle_gamma 90.00
loop_
_atom_site_label
_atom_site_fract_x
_atom_site_fract_y
_atom_site_fract_z
Si1 0.000 0.000 0.000
P1 0.000 0.500 0.000
Pd1 0.500 0.500 0.500
S1 0.000 0.000 0.500

# SiPPdS2 (PBE, relaxed)
# Calculated volume = 89 Å³ per cell
# Formation energy without anion corrections = 598.6 meV per atom
# E above lowest polymorph = 0 meV/atom
# Density = 4.3 Mg/m³
data_SiPPdS2
_space_group_name_H-M_alt 'P 4/m m m'
_space_group_IT_number 123
_space_group_name_Hall '-P 4 2'
_cell_length_a 4.425
_cell_length_b 4.425
_cell_length_c 4.563
_cell_angle_alpha 90.00
_cell_angle_beta 90.00
_cell_angle_gamma 90.00
loop_
_atom_site_label
_atom_site_fract_x
_atom_site_fract_y
_atom_site_fract_z
Si1 0.000 0.000 0.000
P1 0.000 0.000 0.500
Pd1 0.500 0.500 0.500
S1 0.000 0.500 0.000

# SnPPdS2 (PBE, relaxed)
# Calculated volume = 123 Å³ per cell
# Formation energy without anion corrections = 966.3 meV per atom
# E above lowest polymorph = 625 meV/atom
# Density = 4.3 Mg/m³
data_SnPPdS2
_space_group_name_H-M_alt 'P 4/m m m'
_space_group_IT_number 123
_space_group_name_Hall '-P 4 2'
_cell_length_a 4.929
_cell_length_b 4.929
_cell_length_c 5.073
_cell_angle_alpha 90.00
_cell_angle_beta 90.00
_cell_angle_gamma 90.00
loop_
_atom_site_label
_atom_site_fract_x
_atom_site_fract_y
_atom_site_fract_z
Sn1 0.000 0.000 0.000
P1 0.000 0.000 0.500
Pd1 0.500 0.500 0.500
S1 0.000 0.500 0.000

# Sn2PPdS (PBE, relaxed)
# Calculated volume = 126 Å³ per cell
# Formation energy without anion corrections = 223.2 meV per atom
# Density = 5.4 Mg/m³
data_Sn2PPdS
_space_group_name_H-M_alt 'P 4/m m m'
_space_group_IT_number 123
_space_group_name_Hall '-P 4 2'
_cell_length_a 5.338
_cell_length_b 5.338
_cell_length_c 4.418
_cell_angle_alpha 90.00
_cell_angle_beta 90.00
_cell_angle_gamma 90.00
loop_
_atom_site_label
_atom_site_fract_x
_atom_site_fract_y
_atom_site_fract_z
Sn1 0.000 0.500 0.000
P1 0.000 0.000 0.000
Pd1 0.000 0.000 0.500
S1 0.500 0.500 0.500

# SnPPdS2 (PBE, relaxed)
# Calculated volume = 110 Å³ per cell
# Formation energy without anion corrections = 341.2 meV per atom
# E above lowest polymorph = 0 meV/atom
# Density = 4.8 Mg/m³
data_SnPPdS2
_space_group_name_H-M_alt 'P 4/m m m'
_space_group_IT_number 123
_space_group_name_Hall '-P 4 2'
_cell_length_a 5.002
_cell_length_b 5.002
_cell_length_c 4.406
_cell_angle_alpha 90.00
_cell_angle_beta 90.00
_cell_angle_gamma 90.00
loop_
_atom_site_label
_atom_site_fract_x
_atom_site_fract_y
_atom_site_fract_z
Sn1 0.000 0.000 0.000
P1 0.500 0.500 0.000
Pd1 0.500 0.500 0.500
S1 0.000 0.500 0.500

# SrPPd2S (PBE, relaxed)
# Calculated volume = 123 Å³ per cell
# Formation energy without anion corrections = -466.2 meV per atom
# Density = 4.9 Mg/m³
data_SrPPd2S
_space_group_name_H-M_alt 'P 4/m m m'
_space_group_IT_number 123
_space_group_name_Hall '-P 4 2'
_cell_length_a 4.416
_cell_length_b 4.416
_cell_length_c 6.317
_cell_angle_alpha 90.00
_cell_angle_beta 90.00
_cell_angle_gamma 90.00
loop_
_atom_site_label
_atom_site_fract_x
_atom_site_fract_y
_atom_site_fract_z
Sr1 0.000 0.000 0.000
P1 0.000 0.000 0.500
Pd1 0.000 0.500 0.500
S1 0.500 0.500 0.000

# SrPPdS2 (PBE, relaxed)
# Calculated volume = 114 Å³ per cell
# Formation energy without anion corrections = -466.8 meV per atom
# E above lowest polymorph = 0 meV/atom
# Density = 4.2 Mg/m³
data_SrPPdS2
_space_group_name_H-M_alt 'P 4/m m m'
_space_group_IT_number 123
_space_group_name_Hall '-P 4 2'
_cell_length_a 5.072
_cell_length_b 5.072
_cell_length_c 4.416
_cell_angle_alpha 90.00
_cell_angle_beta 90.00
_cell_angle_gamma 90.00
loop_
_atom_site_label
_atom_site_fract_x
_atom_site_fract_y
_atom_site_fract_z
Sr1 0.000 0.000 0.000
P1 0.500 0.500 0.000
Pd1 0.500 0.500 0.500
S1 0.000 0.500 0.500

# SrPPdS2 (PBE, relaxed)
# Calculated volume = 170 Å³ per cell
# Formation energy without anion corrections = 1018.7 meV per atom
# E above lowest polymorph = 1485 meV/atom
# Density = 2.8 Mg/m³
data_SrPPdS2
_space_group_name_H-M_alt 'P 4/m m m'
_space_group_IT_number 123
_space_group_name_Hall '-P 4 2'
_cell_length_a 5.490
_cell_length_b 5.490
_cell_length_c 5.643
_cell_angle_alpha 90.00
_cell_angle_beta 90.00
_cell_angle_gamma 90.00
loop_
_atom_site_label
_atom_site_fract_x
_atom_site_fract_y
_atom_site_fract_z
Sr1 0.000 0.000 0.000
P1 0.000 0.000 0.500
Pd1 0.500 0.500 0.500
S1 0.000 0.500 0.000

# TaPPd2S (PBE, relaxed)
# Calculated volume = 93 Å³ per cell
# Formation energy without anion corrections = 304.9 meV per atom
# Density = 8.1 Mg/m³
data_TaPPd2S
_space_group_name_H-M_alt 'P 4/m m m'
_space_group_IT_number 123
_space_group_name_Hall '-P 4 2'
_cell_length_a 4.424
_cell_length_b 4.424
_cell_length_c 4.768
_cell_angle_alpha 90.00
_cell_angle_beta 90.00
_cell_angle_gamma 90.00
loop_
_atom_site_label
_atom_site_fract_x
_atom_site_fract_y
_atom_site_fract_z
Ta1 0.000 0.000 0.000
P1 0.000 0.000 0.500
Pd1 0.000 0.500 0.500
S1 0.500 0.500 0.000

# TaPPdS2 (PBE, relaxed)
# Calculated volume = 109 Å³ per cell
# Formation energy without anion corrections = 229.6 meV per atom
# E above lowest polymorph = 0 meV/atom
# Density = 5.8 Mg/m³
data_TaPPdS2
_space_group_name_H-M_alt 'P 4/m m m'
_space_group_IT_number 123
_space_group_name_Hall '-P 4 2'
_cell_length_a 4.716
_cell_length_b 4.716
_cell_length_c 4.886
_cell_angle_alpha 90.00
_cell_angle_beta 90.00
_cell_angle_gamma 90.00
loop_
_atom_site_label
_atom_site_fract_x
_atom_site_fract_y
_atom_site_fract_z
Ta1 0.000 0.000 0.000
P1 0.000 0.000 0.500
Pd1 0.500 0.500 0.500
S1 0.000 0.500 0.000

# TaPPdS2 (PBE, relaxed)
# Calculated volume = 95 Å³ per cell
# Formation energy without anion corrections = 891.5 meV per atom
# E above lowest polymorph = 662 meV/atom
# Density = 6.7 Mg/m³
data_TaPPdS2
_space_group_name_H-M_alt 'P 4/m m m'
_space_group_IT_number 123
_space_group_name_Hall '-P 4 2'
_cell_length_a 4.553
_cell_length_b 4.553
_cell_length_c 4.598
_cell_angle_alpha 90.00
_cell_angle_beta 90.00
_cell_angle_gamma 90.00
loop_
_atom_site_label
_atom_site_fract_x
_atom_site_fract_y
_atom_site_fract_z
Ta1 0.000 0.000 0.000
P1 0.500 0.500 0.000
Pd1 0.500 0.500 0.500
S1 0.000 0.500 0.500

# TcP2PdS (PBE, relaxed)
# Calculated volume = 98 Å³ per cell
# Formation energy without anion corrections = 638.5 meV per atom
# E above lowest polymorph = 0 meV/atom
# Density = 5.1 Mg/m³
data_TcP2PdS
_space_group_name_H-M_alt 'P 4/m m m'
_space_group_IT_number 123
_space_group_name_Hall '-P 4 2'
_cell_length_a 4.557
_cell_length_b 4.557
_cell_length_c 4.697
_cell_angle_alpha 90.00
_cell_angle_beta 90.00
_cell_angle_gamma 90.00
loop_
_atom_site_label
_atom_site_fract_x
_atom_site_fract_y
_atom_site_fract_z
Tc1 0.000 0.000 0.000
P1 0.000 0.500 0.000
Pd1 0.500 0.500 0.500
S1 0.000 0.000 0.500

# TcP2PdS (PBE, relaxed)
# Calculated volume = 100 Å³ per cell
# Formation energy without anion corrections = 1137.5 meV per atom
# E above lowest polymorph = 499 meV/atom
# Density = 4.9 Mg/m³
data_TcP2PdS
_space_group_name_H-M_alt 'P 4/m m m'
_space_group_IT_number 123
_space_group_name_Hall '-P 4 2'
_cell_length_a 4.596
_cell_length_b 4.596
_cell_length_c 4.756
_cell_angle_alpha 90.00
_cell_angle_beta 90.00
_cell_angle_gamma 90.00
loop_
_atom_site_label
_atom_site_fract_x
_atom_site_fract_y
_atom_site_fract_z
Tc1 0.000 0.000 0.000
P1 0.000 0.500 0.500
Pd1 0.500 0.500 0.500
S1 0.500 0.500 0.000

# TcPPdS2 (PBE, relaxed)
# Calculated volume = 102 Å³ per cell
# Formation energy without anion corrections = 1057.6 meV per atom
# E above lowest polymorph = 465 meV/atom
# Density = 4.9 Mg/m³
data_TcPPdS2
_space_group_name_H-M_alt 'P 4/m m m'
_space_group_IT_number 123
_space_group_name_Hall '-P 4 2'
_cell_length_a 4.720
_cell_length_b 4.720
_cell_length_c 4.576
_cell_angle_alpha 90.00
_cell_angle_beta 90.00
_cell_angle_gamma 90.00
loop_
_atom_site_label
_atom_site_fract_x
_atom_site_fract_y
_atom_site_fract_z
Tc1 0.000 0.000 0.000
P1 0.500 0.500 0.000
Pd1 0.500 0.500 0.500
S1 0.000 0.500 0.500

# TcPPdS2 (PBE, relaxed)
# Calculated volume = 98 Å³ per cell
# Formation energy without anion corrections = 592.6 meV per atom
# E above lowest polymorph = 0 meV/atom
# Density = 5.1 Mg/m³
data_TcPPdS2
_space_group_name_H-M_alt 'P 4/m m m'
_space_group_IT_number 123
_space_group_name_Hall '-P 4 2'
_cell_length_a 4.597
_cell_length_b 4.597
_cell_length_c 4.634
_cell_angle_alpha 90.00
_cell_angle_beta 90.00
_cell_angle_gamma 90.00
loop_
_atom_site_label
_atom_site_fract_x
_atom_site_fract_y
_atom_site_fract_z
Tc1 0.000 0.000 0.000
P1 0.000 0.000 0.500
Pd1 0.500 0.500 0.500
S1 0.000 0.500 0.000

# TeP2PdS (PBE, relaxed)
# Calculated volume = 104 Å³ per cell
# Formation energy without anion corrections = 655.7 meV per atom
# E above lowest polymorph = 0 meV/atom
# Density = 5.2 Mg/m³
data_TeP2PdS
_space_group_name_H-M_alt 'P 4/m m m'
_space_group_IT_number 123
_space_group_name_Hall '-P 4 2'
_cell_length_a 4.712
_cell_length_b 4.712
_cell_length_c 4.699
_cell_angle_alpha 90.00
_cell_angle_beta 90.00
_cell_angle_gamma 90.00
loop_
_atom_site_label
_atom_site_fract_x
_atom_site_fract_y
_atom_site_fract_z
Te1 0.000 0.000 0.000
P1 0.000 0.500 0.500
Pd1 0.500 0.500 0.500
S1 0.500 0.500 0.000

# TePPdS2 (PBE, relaxed)
# Calculated volume = 104 Å³ per cell
# Formation energy without anion corrections = 561.1 meV per atom
# E above lowest polymorph = 0 meV/atom
# Density = 5.2 Mg/m³
data_TePPdS2
_space_group_name_H-M_alt 'P 4/m m m'
_space_group_IT_number 123
_space_group_name_Hall '-P 4 2'
_cell_length_a 4.760
_cell_length_b 4.760
_cell_length_c 4.608
_cell_angle_alpha 90.00
_cell_angle_beta 90.00
_cell_angle_gamma 90.00
loop_
_atom_site_label
_atom_site_fract_x
_atom_site_fract_y
_atom_site_fract_z
Te1 0.000 0.000 0.000
P1 0.500 0.500 0.000
Pd1 0.500 0.500 0.500
S1 0.000 0.500 0.500

# ThP2PdS8 (PBE, relaxed)
# Calculated volume = 297 Å³ per cell
# Formation energy without anion corrections = -404.1 meV per atom
# Density = 3.7 Mg/m³
data_ThP2PdS8
_space_group_name_H-M_alt 'P -3 m 1'
_space_group_IT_number 164
_space_group_name_Hall '-P 3 2"'
_cell_length_a 6.4720
_cell_length_b 6.4720
_cell_length_c 8.1793
_cell_angle_alpha 90.00
_cell_angle_beta 90.00
_cell_angle_gamma 120.00
loop_
_atom_site_label
_atom_site_fract_x
_atom_site_fract_y
_atom_site_fract_z
Th1 0.0000 0.0000 0.0000
P1 0.3333 0.6667 0.1971
Pd1 0.0000 0.0000 0.5000
S1 0.1585 0.3170 0.2782
S2 0.3333 0.6667 0.9527